# 1
# Ag3AuS3 | the Alexandria database | PBE | relaxed
data_Ag3AuS3
_chemical_formula_sum 'Ag9 Au3 S9'
_symmetry_space_group_name_H-M 'R 3 m'
_symmetry_Int_Tables_number 160
_symmetry_space_group_name_Hall 'R 3 -2"'
_cell_length_a 11.1542
_cell_length_b 11.1542
_cell_length_c 4.3529
_cell_angle_alpha 90.00
_cell_angle_beta 90.00
_cell_angle_gamma 120.00
loop_
_atom_site_label
_atom_site_fract_x
_atom_site_fract_y
_atom_site_fract_z
Ag1 0.1893 0.3786 0.0000
Au1 0.0000 0.0000 0.5227
S1 0.0844 0.5422 0.1746
# Total moment ... 0.00 μB per formula unit
# Formation energy (no corrections) ... 0.154 eV per atom



# 2
# Y3Sb2Se2 | the Alexandria database | PBE | relaxed
data_Y3Sb2Se2
_chemical_formula_sum 'Y6 Sb4 Se4'
_symmetry_space_group_name_H-M 'C 1 2/m 1'
_symmetry_Int_Tables_number 12
_symmetry_space_group_name_Hall '-C 2y'
_cell_length_a 15.822
_cell_length_b 4.204
_cell_length_c 7.591
_cell_angle_alpha 90.00
_cell_angle_beta 116.51
_cell_angle_gamma 90.00
loop_
_atom_site_label
_atom_site_fract_x
_atom_site_fract_y
_atom_site_fract_z
Y1 0.000 0.000 0.000
Y2 0.230 0.500 0.754
Sb1 0.130 0.500 0.297
Se1 0.133 0.000 0.832
# Total moment ... 0.00 μB per formula unit
# Formation energy (no corrections) ... -1.281 eV per atom



# 3
# Na2PtPb | the Alexandria database | PBE | relaxed
data_Na2PtPb
_chemical_formula_sum 'Na4 Pt2 Pb2'
_symmetry_space_group_name_H-M 'C 1 m 1'
_symmetry_Int_Tables_number 8
_symmetry_space_group_name_Hall 'C -2y'
_cell_length_a 8.295
_cell_length_b 4.781
_cell_length_c 5.707
_cell_angle_alpha 90.00
_cell_angle_beta 118.92
_cell_angle_gamma 90.00
loop_
_atom_site_label
_atom_site_fract_x
_atom_site_fract_y
_atom_site_fract_z
Na1 0.000 0.000 0.000
Na2 0.226 0.000 0.678
Pt1 0.288 0.500 0.366
Pb1 0.455 0.000 0.366
# Total moment ... 0.00 μB per formula unit
# Formation energy ... -0.200 eV per atom



# 4
# HoSc2Sn | the Alexandria database | PBE | relaxed
data_HoSc2Sn
_chemical_formula_sum 'Ho1 Sc2 Sn1'
_symmetry_space_group_name_H-M 'P 4/m m m'
_symmetry_Int_Tables_number 123
_symmetry_space_group_name_Hall '-P 4 2'
_cell_length_a 3.626
_cell_length_b 3.626
_cell_length_c 7.692
_cell_angle_alpha 90.00
_cell_angle_beta 90.00
_cell_angle_gamma 90.00
loop_
_atom_site_label
_atom_site_fract_x
_atom_site_fract_y
_atom_site_fract_z
Ho1 0.000 0.000 0.000
Sc1 0.500 0.500 0.278
Sn1 0.000 0.000 0.500
# Relative energy among the computed polymorphs ... 17.70 kJ/mol of atoms
# Total moment ... 0.00 μB per formula unit
# Formation energy ... -0.273 eV per atom



# 5
# TlGaTe2I | the Alexandria database | PBE | relaxed
data_TlGaTe2I
_chemical_formula_sum 'Tl1 Ga1 Te2 I1'
_symmetry_space_group_name_H-M 'P 4/m m m'
_symmetry_Int_Tables_number 123
_symmetry_space_group_name_Hall '-P 4 2'
_cell_length_a 5.794
_cell_length_b 5.794
_cell_length_c 6.279
_cell_angle_alpha 90.00
_cell_angle_beta 90.00
_cell_angle_gamma 90.00
loop_
_atom_site_label
_atom_site_fract_x
_atom_site_fract_y
_atom_site_fract_z
Tl1 0.000 0.000 0.000
Ga1 0.500 0.500 0.500
Te1 0.000 0.500 0.000
I1 0.000 0.000 0.500
# Relative energy among the computed polymorphs ... 34.48 kJ/mol of atoms
# Total moment ... 0.01 μB per formula unit
# Formation energy (no corrections) ... 0.308 eV per atom



# 6
# Ba2Tl2Cu | the Alexandria database | PBE | relaxed
data_Ba2Tl2Cu
_chemical_formula_sum 'Ba4 Tl4 Cu2'
_symmetry_space_group_name_H-M 'I 4/m m m'
_symmetry_Int_Tables_number 139
_symmetry_space_group_name_Hall '-I 4 2'
_cell_length_a 6.919
_cell_length_b 6.919
_cell_length_c 8.276
_cell_angle_alpha 90.00
_cell_angle_beta 90.00
_cell_angle_gamma 90.00
loop_
_atom_site_label
_atom_site_fract_x
_atom_site_fract_y
_atom_site_fract_z
Ba1 0.000 0.500 0.250
Tl1 0.000 0.000 0.173
Cu1 0.000 0.000 0.500
# Relative energy among the computed polymorphs ... 10.08 kJ/mol of atoms
# Total moment ... 0.00 μB per formula unit
# Formation energy ... 0.050 eV per atom



# 7
# GaIN2 | the Alexandria database | PBE | relaxed
data_GaIN2
_chemical_formula_sum 'Ga4 I4 N8'
_symmetry_space_group_name_H-M 'I -4 2 d'
_symmetry_Int_Tables_number 122
_symmetry_space_group_name_Hall 'I -4 2bw'
_cell_length_a 5.463
_cell_length_b 5.463
_cell_length_c 8.294
_cell_angle_alpha 90.00
_cell_angle_beta 90.00
_cell_angle_gamma 90.00
loop_
_atom_site_label
_atom_site_fract_x
_atom_site_fract_y
_atom_site_fract_z
Ga1 0.000 0.000 0.000
I1 0.000 0.000 0.500
N1 0.174 0.250 0.125
# Relative energy among the computed polymorphs ... 16.60 kJ/mol of atoms
# Total moment ... 0.00 μB per formula unit
# Formation energy (no corrections) ... 1.015 eV per atom



# 8
# TeIrRu4 | the Alexandria database | PBE | relaxed
data_TeIrRu4
_chemical_formula_sum 'Te4 Ir4 Ru16'
_symmetry_space_group_name_H-M 'F -4 3 m'
_symmetry_Int_Tables_number 216
_symmetry_space_group_name_Hall 'F -4 2 3'
_cell_length_a 7.299
_cell_length_b 7.299
_cell_length_c 7.299
_cell_angle_alpha 90.00
_cell_angle_beta 90.00
_cell_angle_gamma 90.00
loop_
_atom_site_label
_atom_site_fract_x
_atom_site_fract_y
_atom_site_fract_z
Te1 0.000 0.000 0.000
Ir1 0.250 0.250 0.750
Ru1 0.124 0.124 0.376
# Total moment ... 0.03 μB per formula unit
# Formation energy (no corrections) ... 0.802 eV per atom



# 9
# CdMoRh | the Alexandria database | PBE | relaxed
data_CdMoRh
_chemical_formula_sum 'Cd4 Mo4 Rh4'
_symmetry_space_group_name_H-M 'F -4 3 m'
_symmetry_Int_Tables_number 216
_symmetry_space_group_name_Hall 'F -4 2 3'
_cell_length_a 6.121
_cell_length_b 6.121
_cell_length_c 6.121
_cell_angle_alpha 90.00
_cell_angle_beta 90.00
_cell_angle_gamma 90.00
loop_
_atom_site_label
_atom_site_fract_x
_atom_site_fract_y
_atom_site_fract_z
Cd1 0.000 0.000 0.000
Mo1 0.000 0.000 0.500
Rh1 0.250 0.250 0.250
# Relative energy among the computed polymorphs ... 52.80 kJ/mol of atoms
# Total moment ... 0.00 μB per formula unit
# Formation energy ... 0.452 eV per atom



# 10
# BaMgW2 | the Alexandria database | PBE | relaxed
data_BaMgW2
_chemical_formula_sum 'Ba2 Mg2 W4'
_symmetry_space_group_name_H-M 'I m m 2'
_symmetry_Int_Tables_number 44
_symmetry_space_group_name_Hall 'I 2 -2'
_cell_length_a 3.393
_cell_length_b 4.974
_cell_length_c 13.205
_cell_angle_alpha 90.00
_cell_angle_beta 90.00
_cell_angle_gamma 90.00
loop_
_atom_site_label
_atom_site_fract_x
_atom_site_fract_y
_atom_site_fract_z
Ba1 0.000 0.000 0.000
Mg1 0.000 0.500 0.756
W1 0.000 0.000 0.632
W2 0.000 0.500 0.262
# Total moment ... 0.00 μB per formula unit
# Formation energy ... 0.988 eV per atom



# 11
# CrN | the Alexandria database | PBE | relaxed
data_CrN
_chemical_formula_sum 'Cr6 N6'
_symmetry_space_group_name_H-M 'P 63/m'
_symmetry_Int_Tables_number 176
_symmetry_space_group_name_Hall '-P 6c'
_cell_length_a 7.3977
_cell_length_b 7.3977
_cell_length_c 3.0914
_cell_angle_alpha 90.00
_cell_angle_beta 90.00
_cell_angle_gamma 120.00
loop_
_atom_site_label
_atom_site_fract_x
_atom_site_fract_y
_atom_site_fract_z
Cr1 0.0843 0.6587 0.2500
N1 0.0794 0.3978 0.2500
# Total moment ... 0.24 μB per formula unit
# Formation energy (no corrections) ... -0.322 eV per atom



# 12
# LaBI2O | the Alexandria database | PBE | relaxed
data_LaBI2O
_chemical_formula_sum 'La1 B1 I2 O1'
_symmetry_space_group_name_H-M 'P 4/m m m'
_symmetry_Int_Tables_number 123
_symmetry_space_group_name_Hall '-P 4 2'
_cell_length_a 4.684
_cell_length_b 4.684
_cell_length_c 5.565
_cell_angle_alpha 90.00
_cell_angle_beta 90.00
_cell_angle_gamma 90.00
loop_
_atom_site_label
_atom_site_fract_x
_atom_site_fract_y
_atom_site_fract_z
La1 0.000 0.000 0.000
B1 0.000 0.000 0.500
I1 0.000 0.500 0.500
O1 0.500 0.500 0.000
# Relative energy among the computed polymorphs ... 52.44 kJ/mol of atoms
# Total moment ... 0.00 μB per formula unit
# Formation energy (no corrections) ... 0.177 eV per atom



# 13
# Ni2GeBr2 | the Alexandria database | PBE | relaxed
data_Ni2GeBr2
_chemical_formula_sum 'Ni4 Ge2 Br4'
_symmetry_space_group_name_H-M 'I 4/m m m'
_symmetry_Int_Tables_number 139
_symmetry_space_group_name_Hall '-I 4 2'
_cell_length_a 3.490
_cell_length_b 3.490
_cell_length_c 15.681
_cell_angle_alpha 90.00
_cell_angle_beta 90.00
_cell_angle_gamma 90.00
loop_
_atom_site_label
_atom_site_fract_x
_atom_site_fract_y
_atom_site_fract_z
Ni1 0.000 0.500 0.250
Ge1 0.000 0.000 0.000
Br1 0.000 0.000 0.366
# Relative energy among the computed polymorphs ... 0.00 kJ/mol of atoms
# Total moment ... 0.00 μB per formula unit
# Formation energy (no corrections) ... 0.376 eV per atom



# 14
# Y2ScGeS | the Alexandria database | PBE | relaxed
data_Y2ScGeS
_chemical_formula_sum 'Y2 Sc1 Ge1 S1'
_symmetry_space_group_name_H-M 'P 4/m m m'
_symmetry_Int_Tables_number 123
_symmetry_space_group_name_Hall '-P 4 2'
_cell_length_a 5.539
_cell_length_b 5.539
_cell_length_c 4.817
_cell_angle_alpha 90.00
_cell_angle_beta 90.00
_cell_angle_gamma 90.00
loop_
_atom_site_label
_atom_site_fract_x
_atom_site_fract_y
_atom_site_fract_z
Y1 0.000 0.500 0.000
Sc1 0.000 0.000 0.000
Ge1 0.000 0.000 0.500
S1 0.500 0.500 0.500
# Total moment ... 0.56 μB per formula unit
# Formation energy (no corrections) ... 0.450 eV per atom



# 15
# ZnH6Se4N2 | the Alexandria database | PBE | relaxed
data_ZnH6Se4N2
_chemical_formula_sum 'Zn2 H12 Se8 N4'
_symmetry_space_group_name_H-M 'P 1 21 1'
_symmetry_Int_Tables_number 4
_symmetry_space_group_name_Hall 'P 2yb'
_cell_length_a 5.977
_cell_length_b 11.702
_cell_length_c 6.583
_cell_angle_alpha 90.00
_cell_angle_beta 113.91
_cell_angle_gamma 90.00
loop_
_atom_site_label
_atom_site_fract_x
_atom_site_fract_y
_atom_site_fract_z
Zn1 0.173 0.000 0.116
H1 0.008 0.343 0.195
H2 0.184 0.493 0.744
H3 0.203 0.915 0.753
H4 0.261 0.416 0.973
H5 0.284 0.816 0.949
H6 0.300 0.557 0.988
Se1 0.032 0.181 0.629
Se2 0.282 0.188 0.022
Se3 0.375 0.730 0.428
Se4 0.440 0.931 0.487
N1 0.161 0.881 0.878
N2 0.183 0.493 0.900
# Total moment ... 0.00 μB per formula unit
# Uncorrected energy ... -4.351 eV per atom



# 16
# SmDy6Er12 | the Alexandria database | PBE | relaxed
data_SmDy6Er12
_chemical_formula_sum 'Sm3 Dy18 Er36'
_symmetry_space_group_name_H-M 'R -3 m'
_symmetry_Int_Tables_number 166
_symmetry_space_group_name_Hall '-R 3 2"'
_cell_length_a 14.8054
_cell_length_b 14.8054
_cell_length_c 10.2431
_cell_angle_alpha 90.00
_cell_angle_beta 90.00
_cell_angle_gamma 120.00
loop_
_atom_site_label
_atom_site_fract_x
_atom_site_fract_y
_atom_site_fract_z
Sm1 0.0000 0.0000 0.0000
Dy1 0.0646 0.5323 0.2188
Er1 0.0000 0.3881 0.5000
Er2 0.0766 0.1533 0.2670
# Relative energy among the computed polymorphs ... 28.00 kJ/mol of atoms
# Total moment ... 0.02 μB per formula unit
# Formation energy ... 0.451 eV per atom



# 17
# Rb2AgAsRh | the Alexandria database | PBE | relaxed
data_Rb2AgAsRh
_chemical_formula_sum 'Rb2 Ag1 As1 Rh1'
_symmetry_space_group_name_H-M 'P 4/m m m'
_symmetry_Int_Tables_number 123
_symmetry_space_group_name_Hall '-P 4 2'
_cell_length_a 6.212
_cell_length_b 6.212
_cell_length_c 5.109
_cell_angle_alpha 90.00
_cell_angle_beta 90.00
_cell_angle_gamma 90.00
loop_
_atom_site_label
_atom_site_fract_x
_atom_site_fract_y
_atom_site_fract_z
Rb1 0.000 0.500 0.000
Ag1 0.000 0.000 0.500
As1 0.500 0.500 0.500
Rh1 0.000 0.000 0.000
# Total moment ... 3.10 μB per formula unit
# Formation energy ... 0.803 eV per atom



# 18
# TlCdPtO4 | the Alexandria database | PBE | relaxed
data_TlCdPtO4
_chemical_formula_sum 'Tl4 Cd4 Pt4 O16'
_symmetry_space_group_name_H-M 'I m m a'
_symmetry_Int_Tables_number 74
_symmetry_space_group_name_Hall '-I 2b 2'
_cell_length_a 6.521
_cell_length_b 6.779
_cell_length_c 9.471
_cell_angle_alpha 90.00
_cell_angle_beta 90.00
_cell_angle_gamma 90.00
loop_
_atom_site_label
_atom_site_fract_x
_atom_site_fract_y
_atom_site_fract_z
Tl1 0.000 0.000 0.000
Cd1 0.000 0.250 0.376
Pt1 0.250 0.250 0.750
O1 0.000 0.051 0.752
O2 0.239 0.250 0.967
# Total moment ... 0.00 μB per formula unit
# Formation energy (no corrections) ... -0.641 eV per atom



# 19
# CoCuRe4 | the Alexandria database | PBE | relaxed
data_CoCuRe4
_chemical_formula_sum 'Co4 Cu4 Re16'
_symmetry_space_group_name_H-M 'F -4 3 m'
_symmetry_Int_Tables_number 216
_symmetry_space_group_name_Hall 'F -4 2 3'
_cell_length_a 7.241
_cell_length_b 7.241
_cell_length_c 7.241
_cell_angle_alpha 90.00
_cell_angle_beta 90.00
_cell_angle_gamma 90.00
loop_
_atom_site_label
_atom_site_fract_x
_atom_site_fract_y
_atom_site_fract_z
Co1 0.000 0.000 0.000
Cu1 0.250 0.250 0.250
Re1 0.125 0.125 0.625
# Total moment ... 1.82 μB per formula unit
# Formation energy ... 0.743 eV per atom



# 20
# Tl2CdAg2 | the Alexandria database | PBE | relaxed
data_Tl2CdAg2
_chemical_formula_sum 'Tl4 Cd2 Ag4'
_symmetry_space_group_name_H-M 'P 4/m b m'
_symmetry_Int_Tables_number 127
_symmetry_space_group_name_Hall '-P 4 2ab'
_cell_length_a 8.542
_cell_length_b 8.542
_cell_length_c 3.367
_cell_angle_alpha 90.00
_cell_angle_beta 90.00
_cell_angle_gamma 90.00
loop_
_atom_site_label
_atom_site_fract_x
_atom_site_fract_y
_atom_site_fract_z
Tl1 0.173 0.327 0.000
Cd1 0.000 0.000 0.000
Ag1 0.122 0.622 0.500
# Relative energy among the computed polymorphs ... 6.95 kJ/mol of atoms
# Total moment ... 0.00 μB per formula unit
# Formation energy ... 0.169 eV per atom